[1]
! PBE SrTl2Hg5, relaxed; values from VASP
&SYSTEM
  ibrav = 0, nat = 16, ntyp = 3
/
ATOMIC_SPECIES
Sr 87.62 Sr.upf
Tl 204.38 Tl.upf
Hg 200.59 Hg.upf
CELL_PARAMETERS angstrom
4.9518 0.0000 0.0000
0.0000 4.9518 0.0000
0.0000 0.0000 18.6007
ATOMIC_POSITIONS angstrom
Sr 0.0000 0.0000 0.0000
Sr 2.4759 2.4759 9.3003
Tl 0.0000 0.0000 4.6208
Tl 0.0000 0.0000 13.9799
Tl 2.4759 2.4759 4.6796
Tl 2.4759 2.4759 13.9211
Hg 0.0000 0.0000 9.3003
Hg 0.0000 2.4759 2.3362
Hg 0.0000 2.4759 6.9642
Hg 0.0000 2.4759 11.6365
Hg 0.0000 2.4759 16.2645
Hg 2.4759 0.0000 2.3362
Hg 2.4759 0.0000 6.9642
Hg 2.4759 0.0000 11.6365
Hg 2.4759 0.0000 16.2645
Hg 2.4759 2.4759 0.0000
! - magnetic moment (μB/cell) = 0.0
! - final energy (eV/atom) = -1.21
! - energy relative to the lowest polymorph listed for this composition (eV per atom) = 0.000
! - ΔH_f (0 K) (meV per atom) = -222
! - space-group type = I4/mmm

[2]
! PBE Sr2TlHg10, relaxed; values from VASP
&SYSTEM
  ibrav = 0, nat = 26, ntyp = 3
/
ATOMIC_SPECIES
Sr 87.62 Sr.upf
Tl 204.38 Tl.upf
Hg 200.59 Hg.upf
CELL_PARAMETERS angstrom
11.5472 0.0000 0.0000
0.0000 13.3750 0.0000
0.0000 0.0000 5.8726
ATOMIC_POSITIONS angstrom
Sr 1.3777 2.1606 0.0000
Sr 4.3959 8.8481 0.0000
Sr 7.1514 4.5268 0.0000
Sr 10.1695 11.2143 0.0000
Tl 0.0000 6.6875 2.9363
Tl 5.7736 0.0000 2.9363
Hg 0.2265 11.8500 2.9363
Hg 1.3235 9.3431 1.4360
Hg 1.3235 9.3431 4.4366
Hg 1.9536 4.1381 2.9363
Hg 2.6223 0.2982 2.9363
Hg 3.1514 6.9857 2.9363
Hg 3.8200 10.8256 2.9363
Hg 4.4501 2.6556 1.4360
Hg 4.4501 2.6556 4.4366
Hg 5.5472 5.1625 2.9363
Hg 6.0001 8.2125 2.9363
Hg 7.0971 10.7194 1.4360
Hg 7.0971 10.7194 4.4366
Hg 7.7272 2.5494 2.9363
Hg 8.3959 6.3893 2.9363
Hg 8.9250 13.0768 2.9363
Hg 9.5936 9.2369 2.9363
Hg 10.2237 4.0319 1.4360
Hg 10.2237 4.0319 4.4366
Hg 11.3208 1.5250 2.9363
! - magnetic moment (μB/cell) = 0.0
! - final energy (eV/atom) = -0.78
! - ΔH_f (0 K) (meV per atom) = -108
! - space-group type = Pbam

[3]
! PBE SrTl3Hg, relaxed; values from VASP
&SYSTEM
  ibrav = 0, nat = 5, ntyp = 3
/
ATOMIC_SPECIES
Sr 87.62 Sr.upf
Tl 204.38 Tl.upf
Hg 200.59 Hg.upf
CELL_PARAMETERS angstrom
6.3992 0.0000 0.0000
0.0000 6.3992 0.0000
0.0000 0.0000 6.3992
ATOMIC_POSITIONS angstrom
Sr 0.0000 0.0000 0.0000
Tl 0.0000 0.0000 3.1996
Tl 0.0000 3.1996 0.0000
Tl 3.1996 0.0000 0.0000
Hg 3.1996 3.1996 3.1996
! - magnetic moment (μB/cell) = 0.0
! - final energy (eV/atom) = -1.33
! - energy relative to the lowest polymorph listed for this composition (eV per atom) = 0.724
! - ΔH_f (0 K) (meV per atom) = 489
! - space-group type = Pm-3m

[4]
! PBE SrTl4Hg4, relaxed; values from VASP
&SYSTEM
  ibrav = 0, nat = 9, ntyp = 3
/
ATOMIC_SPECIES
Sr 87.62 Sr.upf
Tl 204.38 Tl.upf
Hg 200.59 Hg.upf
CELL_PARAMETERS angstrom
-4.8407 4.8407 2.8533
4.8407 -4.8407 2.8533
4.8407 4.8407 -2.8533
ATOMIC_POSITIONS angstrom
Sr 0.0000 0.0000 0.0000
Tl 3.4726 2.8029 0.0000
Tl 2.0378 -1.3682 2.8533
Tl 2.8029 6.2089 0.0000
Tl 1.3682 2.0378 2.8533
Hg 6.3352 0.3449 0.0000
Hg 0.3449 3.3463 0.0000
Hg 4.4958 1.4944 2.8533
Hg -1.4944 4.4958 2.8533
! - magnetic moment (μB/cell) = 0.0
! - final energy (eV/atom) = -1.51
! - energy relative to the lowest polymorph listed for this composition (eV per atom) = 0.024
! - ΔH_f (0 K) (meV per atom) = -138
! - space-group type = I4/m

[5]
! PBE Sr5TlHg2, relaxed; values from VASP
&SYSTEM
  ibrav = 0, nat = 16, ntyp = 3
/
ATOMIC_SPECIES
Sr 87.62 Sr.upf
Tl 204.38 Tl.upf
Hg 200.59 Hg.upf
CELL_PARAMETERS angstrom
-4.3913 4.3913 7.9704
4.3913 -4.3913 7.9704
4.3913 4.3913 -7.9704
ATOMIC_POSITIONS angstrom
Sr 0.0000 0.0000 0.0000
Sr 5.8642 1.4729 -2.3222
Sr 1.4729 2.9183 -2.3222
Sr 5.8642 1.4729 2.3222
Sr 1.4729 2.9183 2.3222
Sr 0.0000 0.0000 7.9704
Sr 2.9183 1.4729 5.6481
Sr -1.4729 2.9183 5.6481
Sr 2.9183 1.4729 10.2926
Sr -1.4729 2.9183 10.2926
Tl 0.0000 0.0000 3.9852
Tl 0.0000 0.0000 11.9555
Hg 3.2648 1.1265 0.0000
Hg 3.2648 -1.1265 7.9704
Hg 1.1265 5.5177 0.0000
Hg 1.1265 3.2648 7.9704
! - magnetic moment (μB/cell) = 0.0
! - final energy (eV/atom) = -1.81
! - ΔH_f (0 K) (meV per atom) = -388
! - space-group type = I4/mcm

[6]
! PBE SrTl2Hg2, relaxed; values from VASP
&SYSTEM
  ibrav = 0, nat = 10, ntyp = 3
/
ATOMIC_SPECIES
Sr 87.62 Sr.upf
Tl 204.38 Tl.upf
Hg 200.59 Hg.upf
CELL_PARAMETERS angstrom
4.8183 0.0000 0.0000
0.0000 4.8183 0.0000
0.0000 0.0000 13.4947
ATOMIC_POSITIONS angstrom
Sr 0.0000 0.0000 0.0000
Sr 2.4091 2.4091 6.7474
Tl 0.0000 2.4091 3.3737
Tl 0.0000 2.4091 10.1210
Tl 2.4091 0.0000 3.3737
Tl 2.4091 0.0000 10.1210
Hg 0.0000 0.0000 5.3305
Hg 0.0000 0.0000 8.1642
Hg 2.4091 2.4091 1.4169
Hg 2.4091 2.4091 12.0778
! - magnetic moment (μB/cell) = 0.0
! - final energy (eV/atom) = -1.65
! - energy relative to the lowest polymorph listed for this composition (eV per atom) = 0.036
! - ΔH_f (0 K) (meV per atom) = -242
! - space-group type = I4/mmm

[7]
! PBE Sr6TlHg, relaxed; values from VASP
&SYSTEM
  ibrav = 0, nat = 8, ntyp = 3
/
ATOMIC_SPECIES
Sr 87.62 Sr.upf
Tl 204.38 Tl.upf
Hg 200.59 Hg.upf
CELL_PARAMETERS angstrom
3.9541 2.2829 7.4147
-3.9541 2.2829 7.4147
0.0000 -4.5658 7.4147
ATOMIC_POSITIONS angstrom
Sr -2.6441 -0.1064 9.2741
Sr -1.2299 -2.3431 12.9700
Sr 1.4142 -2.2367 9.2741
Sr -1.4142 2.2367 12.9700
Sr 1.2299 2.3431 9.2741
Sr 2.6441 0.1064 12.9700
Tl 0.0000 0.0000 0.0000
Hg 0.0000 0.0000 11.1220
! - magnetic moment (μB/cell) = 0.0
! - final energy (eV/atom) = -1.75
! - ΔH_f (0 K) (meV per atom) = -157
! - space-group type = R-3

[8]
! PBE Sr6Tl2Hg, relaxed; values from VASP
&SYSTEM
  ibrav = 0, nat = 18, ntyp = 3
/
ATOMIC_SPECIES
Sr 87.62 Sr.upf
Tl 204.38 Tl.upf
Hg 200.59 Hg.upf
CELL_PARAMETERS angstrom
6.7128 0.0000 0.0000
0.0000 9.9314 0.0000
-6.6011 0.0000 11.1120
ATOMIC_POSITIONS angstrom
Sr -2.6649 1.7546 4.8756
Sr -5.9654 3.2110 10.4316
Sr -0.5597 6.6120 4.7535
Sr -3.8603 8.2850 10.3095
Sr 0.6123 0.2871 3.1446
Sr -2.6883 4.6786 8.7006
Sr 2.8000 5.2528 2.4114
Sr -0.5006 9.6442 7.9674
Sr 3.9719 1.6463 0.8025
Sr 0.6714 3.3193 6.3585
Sr 6.0771 6.7203 0.6804
Sr 2.7765 8.1767 6.2363
Tl -3.6964 1.2916 8.2957
Tl -0.3958 3.6741 2.7397
Tl 0.5074 6.2573 8.3722
Tl 3.8080 8.6397 2.8162
Hg 0.0000 0.0000 0.0000
Hg -3.3006 4.9657 5.5560
! - magnetic moment (μB/cell) = 0.0
! - final energy (eV/atom) = -1.97
! - energy relative to the lowest polymorph listed for this composition (eV per atom) = 0.000
! - ΔH_f (0 K) (meV per atom) = -288
! - space-group type = P2_1/c

[9]
! PBE Sr2Tl3Hg6, relaxed; values from VASP
&SYSTEM
  ibrav = 0, nat = 11, ntyp = 3
/
ATOMIC_SPECIES
Sr 87.62 Sr.upf
Tl 204.38 Tl.upf
Hg 200.59 Hg.upf
CELL_PARAMETERS angstrom
-2.4189 2.4189 15.1994
2.4189 -2.4189 15.1994
2.4189 2.4189 -15.1994
ATOMIC_POSITIONS angstrom
Sr 0.0000 0.0000 4.6597
Sr 0.0000 0.0000 25.7391
Tl 0.0000 0.0000 11.0939
Tl 0.0000 0.0000 15.1994
Tl 0.0000 0.0000 19.3049
Hg 2.4189 0.0000 2.0294
Hg 0.0000 0.0000 7.9770
Hg 2.4189 0.0000 13.1699
Hg 0.0000 2.4189 2.0294
Hg 0.0000 0.0000 22.4217
Hg 0.0000 2.4189 13.1699
! - magnetic moment (μB/cell) = 0.0
! - final energy (eV/atom) = -1.26
! - energy relative to the lowest polymorph listed for this composition (eV per atom) = 0.083
! - ΔH_f (0 K) (meV per atom) = -145
! - space-group type = I4/mmm

[10]
! PBE Sr2TlHg16, relaxed; values from VASP
&SYSTEM
  ibrav = 0, nat = 19, ntyp = 3
/
ATOMIC_SPECIES
Sr 87.62 Sr.upf
Tl 204.38 Tl.upf
Hg 200.59 Hg.upf
CELL_PARAMETERS angstrom
4.9722 2.8707 6.3006
-4.9722 2.8707 6.3006
0.0000 -5.7414 6.3006
ATOMIC_POSITIONS angstrom
Sr 0.0000 0.0000 0.0000
Sr 0.0000 0.0000 7.6658
Tl 0.0000 0.0000 11.6382
Hg -1.9866 -2.8706 7.0479
Hg -3.4793 -0.2851 7.0479
Hg 0.0000 -2.6393 4.7376
Hg -2.2857 1.3196 4.7376
Hg -2.3702 -1.3684 10.0297
Hg 0.0000 -3.6534 9.2720
Hg -3.1639 1.8267 9.2720
Hg 1.9866 -2.8706 7.0479
Hg -1.4928 3.1558 7.0479
Hg 2.2857 1.3196 4.7376
Hg 2.3702 -1.3684 10.0297
Hg 0.0000 2.7368 10.0297
Hg 3.4793 -0.2851 7.0479
Hg 1.4928 3.1558 7.0479
Hg 0.0000 0.0000 15.2802
Hg 3.1639 1.8267 9.2719
! - magnetic moment (μB/cell) = 0.0
! - final energy (eV/atom) = -0.72
! - ΔH_f (0 K) (meV per atom) = -159
! - space-group type = R3m

[11]
! PBE SrTl4Hg, relaxed; values from VASP
&SYSTEM
  ibrav = 0, nat = 6, ntyp = 3
/
ATOMIC_SPECIES
Sr 87.62 Sr.upf
Tl 204.38 Tl.upf
Hg 200.59 Hg.upf
CELL_PARAMETERS angstrom
0.0000 4.5942 4.5942
4.5942 0.0000 4.5942
4.5942 4.5942 0.0000
ATOMIC_POSITIONS angstrom
Sr 0.0000 0.0000 0.0000
Tl 5.7392 3.4491 3.4491
Tl 3.4491 5.7392 3.4491
Tl 3.4491 3.4491 5.7392
Tl 5.7392 5.7392 5.7392
Hg 2.2971 2.2971 2.2971
! - magnetic moment (μB/cell) = 0.0
! - final energy (eV/atom) = -2.01
! - energy relative to the lowest polymorph listed for this composition (eV per atom) = 0.077
! - ΔH_f (0 K) (meV per atom) = -98
! - space-group type = F-43m

[12]
! PBE Sr3Tl12Hg, relaxed; values from VASP
&SYSTEM
  ibrav = 0, nat = 16, ntyp = 3
/
ATOMIC_SPECIES
Sr 87.62 Sr.upf
Tl 204.38 Tl.upf
Hg 200.59 Hg.upf
CELL_PARAMETERS angstrom
5.3615 0.0000 0.0000
0.0000 5.3615 0.0000
0.0000 0.0000 17.2944
ATOMIC_POSITIONS angstrom
Sr 0.0000 0.0000 0.0000
Sr 0.0000 0.0000 4.5016
Sr 0.0000 0.0000 12.7927
Tl 0.0000 2.6808 2.2164
Tl 0.0000 2.6808 6.7165
Tl 0.0000 2.6808 10.5778
Tl 0.0000 2.6808 15.0780
Tl 2.6808 0.0000 2.2164
Tl 2.6808 0.0000 6.7165
Tl 2.6808 0.0000 10.5778
Tl 2.6808 0.0000 15.0780
Tl 2.6808 2.6808 0.0000
Tl 2.6808 2.6808 4.4144
Tl 2.6808 2.6808 8.6472
Tl 2.6808 2.6808 12.8799
Hg 0.0000 0.0000 8.6472
! - magnetic moment (μB/cell) = 0.0
! - final energy (eV/atom) = -2.29
! - ΔH_f (0 K) (meV per atom) = -181
! - space-group type = P4/mmm